[1]
Here is crystalline Ag2Pb5 at its relaxed geometry from OQMD via LeMat-Bulk. Energies are from PBE-GGA.

Lattice parameters (Å, degrees): 9.025 9.025 9.025 34.05 34.05 34.05
Sites, in units of the cell vectors:
1 Ag 0.244 0.244 0.244
2 Ag 0.754 0.754 0.754
3 Pb 0.011 0.011 0.011
4 Pb 0.374 0.374 0.374
5 Pb 0.494 0.494 0.494
6 Pb 0.622 0.622 0.622
7 Pb 0.876 0.876 0.876

Values from the calculation:
Crystal system: trigonal
Space group: No. 160

[2]
Here is crystalline AgPd3Pb5 at its relaxed geometry from OQMD via LeMat-Bulk. Energies are from PBE-GGA.

Lattice parameters (Å, degrees): 5.632 5.632 8.116 90.00 90.00 120.00
Sites, in units of the cell vectors:
1 Ag 0.000 0.000 0.000
2 Pb 0.667 0.333 0.198
3 Pb 0.333 0.667 0.198
4 Pb 0.000 0.000 0.500
5 Pb 0.667 0.333 0.802
6 Pb 0.333 0.667 0.802
7 Pd 0.500 0.000 0.500
8 Pd 0.000 0.500 0.500
9 Pd 0.500 0.500 0.500

Values from the calculation:
Crystal system: hexagonal
Space group: No. 191

[3]
Here is crystalline Ag2PdPb at its relaxed geometry from OQMD via LeMat-Bulk. Energies are from PBE-GGA.

Lattice parameters (Å, degrees): 4.763 4.763 4.763 60.00 60.00 60.00
Sites, in units of the cell vectors:
1 Ag 0.000 0.000 0.000
2 Ag 0.750 0.750 0.750
3 Pb 0.500 0.500 0.500
4 Pd 0.250 0.250 0.250

Values from the calculation:
Crystal system: cubic
Space group: No. 216

[4]
Here is crystalline AgPd2Pb at its relaxed geometry from OQMD via LeMat-Bulk. Energies are from PBE-GGA.

Lattice parameters (Å, degrees): 4.675 4.675 4.675 60.00 60.00 60.00
Sites, in units of the cell vectors:
1 Ag 0.250 0.250 0.250
2 Pb 0.500 0.500 0.500
3 Pd 0.000 0.000 0.000
4 Pd 0.750 0.750 0.750

Values from the calculation:
Crystal system: cubic
Space group: No. 216

[5]
Here is crystalline PrAgTe2PbS at its relaxed geometry from OQMD via LeMat-Bulk. Energies are from PBE-GGA.

Lattice parameters (Å, degrees): 7.662 7.662 10.718 90.00 90.00 146.49
Sites, in units of the cell vectors:
1 Ag 0.018 0.982 0.250
2 Ag 0.982 0.018 0.750
3 Pb 0.769 0.231 0.250
4 Pb 0.231 0.769 0.750
5 Pr 0.500 0.500 0.000
6 Pr 0.500 0.500 0.500
7 S 0.421 0.579 0.250
8 S 0.579 0.421 0.750
9 Te 0.153 0.847 0.062
10 Te 0.153 0.847 0.438
11 Te 0.847 0.153 0.562
12 Te 0.847 0.153 0.938

Values from the calculation:
Crystal system: orthorhombic
Space group: No. 63
Magnetic moment (μB per formula unit): 0.000

[6]
Here is crystalline PrScAg2Pb2 at its relaxed geometry from OQMD via LeMat-Bulk. Energies are from PBE-GGA.

Lattice parameters (Å, degrees): 4.791 4.791 7.422 90.00 90.00 120.00
Sites, in units of the cell vectors:
1 Ag 0.667 0.333 0.478
2 Ag 0.333 0.667 0.935
3 Pb 0.667 0.333 0.027
4 Pb 0.333 0.667 0.545
5 Pr 0.000 0.000 0.256
6 Sc 0.000 0.000 0.759

Values from the calculation:
Crystal system: trigonal
Space group: No. 156
Magnetic moment (μB per formula unit): 0.017

[7]
Here is crystalline PrAgTePbSe2 at its relaxed geometry from OQMD via LeMat-Bulk. Energies are from PBE-GGA.

Lattice parameters (Å, degrees): 7.460 7.460 11.533 90.00 90.00 146.80
Sites, in units of the cell vectors:
1 Ag 0.024 0.976 0.250
2 Ag 0.976 0.024 0.750
3 Pb 0.717 0.283 0.250
4 Pb 0.283 0.717 0.750
5 Pr 0.500 0.500 0.000
6 Pr 0.500 0.500 0.500
7 Se 0.138 0.862 0.067
8 Se 0.138 0.862 0.433
9 Se 0.862 0.138 0.567
10 Se 0.862 0.138 0.933
11 Te 0.394 0.606 0.250
12 Te 0.606 0.394 0.750

Values from the calculation:
Crystal system: orthorhombic
Space group: No. 63
Magnetic moment (μB per formula unit): 0.004

[8]
Here is crystalline PrAgTe3Pb at its relaxed geometry from OQMD via LeMat-Bulk. Energies are from PBE-GGA.

Lattice parameters (Å, degrees): 12.591 4.589 12.911 90.00 90.00 90.00
Sites, in units of the cell vectors:
1 Ag 0.237 0.750 0.208
2 Ag 0.737 0.750 0.292
3 Ag 0.263 0.250 0.708
4 Ag 0.763 0.250 0.792
5 Pb 0.191 0.250 0.017
6 Pb 0.691 0.250 0.483
7 Pb 0.309 0.750 0.517
8 Pb 0.809 0.750 0.983
9 Pr 0.525 0.250 0.190
10 Pr 0.025 0.250 0.310
11 Pr 0.975 0.750 0.690
12 Pr 0.475 0.750 0.810
13 Te 0.402 0.750 0.060
14 Te 0.031 0.750 0.129
15 Te 0.786 0.250 0.175
16 Te 0.286 0.250 0.325
17 Te 0.531 0.750 0.371
18 Te 0.902 0.750 0.440
19 Te 0.098 0.250 0.560
20 Te 0.469 0.250 0.629
21 Te 0.714 0.750 0.675
22 Te 0.214 0.750 0.825
23 Te 0.969 0.250 0.871
24 Te 0.598 0.250 0.940

Values from the calculation:
Crystal system: orthorhombic
Space group: No. 62
Magnetic moment (μB per formula unit): 0.003

Calculated volume / Å³ per atom: 29.343 24.776 19.097 18.062 28.950 24.596 29.293 31.083
Total energy / hartree per atom: -0.1199 -0.1520 -0.1352 -0.1580 -0.1632 -0.1612 -0.1640 -0.1535